Record 1
First-principles (PBE-GGA) data for a relaxed GaHgAu6 crystal, as listed in Alexandria via LeMat-Bulk.

abc: 4.231 4.231 8.214
angles: 90.00 90.00 90.00
Sites, in units of the cell vectors:
Ga1 0.000 0.000 0.000
Hg1 0.000 0.000 0.500
Au1 0.000 0.500 0.240
Au2 0.000 0.500 0.760
Au3 0.500 0.000 0.240
Au4 0.500 0.000 0.760
Au5 0.500 0.500 0.000
Au6 0.500 0.500 0.500

Distance to the lowest polymorph of the same formula = 4 meV per atom
SG = P4/mmm (123)

=====

Record 2
First-principles (PBE-GGA) data for a relaxed GaHg2Au crystal, as listed in Alexandria via LeMat-Bulk.

abc: 3.518 3.518 7.041
angles: 90.00 90.00 90.00
Sites, in units of the cell vectors:
Ga1 0.000 0.000 0.000
Hg1 0.500 0.500 0.259
Hg2 0.500 0.500 0.741
Au1 0.000 0.000 0.500

SG = P4/mmm (123)
Final energy = -1.65 eV per atom

=====

Record 3
First-principles (PBE-GGA) data for a relaxed Ga2HgAu2 crystal, as listed in Alexandria via LeMat-Bulk.

abc: 8.349 8.349 2.862
angles: 90.00 90.00 90.00
Sites, in units of the cell vectors:
Ga1 0.134 0.366 0.000
Ga2 0.366 0.866 0.000
Ga3 0.634 0.134 0.000
Ga4 0.866 0.634 0.000
Hg1 0.000 0.000 0.500
Hg2 0.500 0.500 0.500
Au1 0.163 0.663 0.500
Au2 0.337 0.163 0.500
Au3 0.663 0.837 0.500
Au4 0.837 0.337 0.500

Distance to the lowest polymorph of the same formula = 0 meV per atom
SG = P4/mbm (127)

=====

Record 4
First-principles (PBE-GGA) data for a relaxed Ga2Hg2Au crystal, as listed in Alexandria via LeMat-Bulk.

abc: 3.743 3.743 15.895
angles: 90.00 90.00 90.00
Sites, in units of the cell vectors:
Ga1 0.000 0.500 0.250
Ga2 0.000 0.500 0.750
Ga3 0.500 0.000 0.250
Ga4 0.500 0.000 0.750
Hg1 0.000 0.000 0.095
Hg2 0.000 0.000 0.905
Hg3 0.500 0.500 0.405
Hg4 0.500 0.500 0.595
Au1 0.000 0.000 0.500
Au2 0.500 0.500 0.000

Distance to the lowest polymorph of the same formula = 155 meV per atom
SG = I4/mmm (139)

=====

Record 5
First-principles (PBE-GGA) data for a relaxed Ga2Hg2Au crystal, as listed in Alexandria via LeMat-Bulk.

abc: 7.540 7.540 3.962
angles: 90.00 90.00 90.00
Sites, in units of the cell vectors:
Ga1 0.156 0.344 0.000
Ga2 0.344 0.844 0.000
Ga3 0.656 0.156 0.000
Ga4 0.844 0.656 0.000
Hg1 0.150 0.650 0.500
Hg2 0.350 0.150 0.500
Hg3 0.650 0.850 0.500
Hg4 0.850 0.350 0.500
Au1 0.000 0.000 0.500
Au2 0.500 0.500 0.500

Distance to the lowest polymorph of the same formula = 140 meV per atom
SG = P4/mbm (127)

=====

Record 6
First-principles (PBE-GGA) data for a relaxed GaHg2Au crystal, as listed in Alexandria via LeMat-Bulk.

abc: 3.043 3.043 32.647
angles: 90.00 90.00 120.00
Sites, in units of the cell vectors:
Ga1 0.000 0.000 0.000
Ga2 0.333 0.667 0.667
Ga3 0.667 0.333 0.333
Hg1 0.000 0.000 0.087
Hg2 0.000 0.000 0.913
Hg3 0.333 0.667 0.580
Hg4 0.333 0.667 0.754
Hg5 0.667 0.333 0.246
Hg6 0.667 0.333 0.420
Au1 0.000 0.000 0.500
Au2 0.333 0.667 0.167
Au3 0.667 0.333 0.833

SG = R-3m (166)
Final energy = -1.64 eV per atom

=====

Record 7
First-principles (PBE-GGA) data for a relaxed Ga3HgAu crystal, as listed in Alexandria via LeMat-Bulk.

abc: 5.065 5.065 5.065
angles: 90.00 90.00 90.00
Sites, in units of the cell vectors:
Ga1 0.000 0.000 0.500
Ga2 0.000 0.500 0.000
Ga3 0.500 0.000 0.000
Hg1 0.500 0.500 0.500
Au1 0.000 0.000 0.000

Distance to the lowest polymorph of the same formula = 0 meV per atom
SG = Pm-3m (221)

=====

Record 8
First-principles (PBE-GGA) data for a relaxed GaHgAu2 crystal, as listed in Alexandria via LeMat-Bulk.

abc: 5.550 3.581 8.359
angles: 90.00 98.84 90.00
Sites, in units of the cell vectors:
Ga1 0.170 0.250 0.407
Ga2 0.830 0.750 0.593
Hg1 0.211 0.250 0.919
Hg2 0.789 0.750 0.081
Au1 0.307 0.750 0.641
Au2 0.313 0.750 0.202
Au3 0.687 0.250 0.798
Au4 0.693 0.250 0.359

SG = P2_1/m (11)
Final energy = -2.55 eV per atom

=====

Record 9
First-principles (PBE-GGA) data for a relaxed Ga2HgAu4 crystal, as listed in Alexandria via LeMat-Bulk.

abc: 5.000 5.000 16.294
angles: 90.00 90.00 133.02
Sites, in units of the cell vectors:
Ga1 0.112 0.888 0.594
Ga2 0.112 0.888 0.906
Ga3 0.888 0.112 0.094
Ga4 0.888 0.112 0.406
Hg1 0.437 0.563 0.750
Hg2 0.563 0.437 0.250
Au1 0.146 0.854 0.750
Au2 0.193 0.807 0.077
Au3 0.193 0.807 0.423
Au4 0.500 0.500 0.000
Au5 0.500 0.500 0.500
Au6 0.807 0.193 0.577
Au7 0.807 0.193 0.923
Au8 0.854 0.146 0.250

SG = Cmcm (63)
Final energy = -2.80 eV per atom

=====

Record 10
First-principles (PBE-GGA) data for a relaxed GaHgAu crystal, as listed in Alexandria via LeMat-Bulk.

abc: 6.546 6.546 6.546
angles: 90.00 90.00 90.00
Sites, in units of the cell vectors:
Ga1 0.000 0.000 0.000
Ga2 0.000 0.500 0.500
Ga3 0.500 0.000 0.500
Ga4 0.500 0.500 0.000
Hg1 0.000 0.000 0.500
Hg2 0.000 0.500 0.000
Hg3 0.500 0.000 0.000
Hg4 0.500 0.500 0.500
Au1 0.250 0.250 0.250
Au2 0.250 0.750 0.750
Au3 0.750 0.250 0.750
Au4 0.750 0.750 0.250

Distance to the lowest polymorph of the same formula = 43 meV per atom
SG = F-43m (216)

=====

Record 11
First-principles (PBE-GGA) data for a relaxed Ga2HgAu7 crystal, as listed in Alexandria via LeMat-Bulk.

abc: 11.057 11.057 11.057
angles: 157.81 157.81 31.59
Sites, in units of the cell vectors:
Ga1 0.175 0.175 0.000
Ga2 0.825 0.825 0.000
Hg1 0.500 0.500 0.000
Au1 0.000 0.000 0.000
Au2 0.101 0.601 0.500
Au3 0.250 0.750 0.500
Au4 0.399 0.899 0.500
Au5 0.601 0.101 0.500
Au6 0.750 0.250 0.500
Au7 0.899 0.399 0.500

SG = I4/mmm (139)
Final energy = -2.99 eV per atom

=====

Record 12
First-principles (PBE-GGA) data for a relaxed GaHgAu crystal, as listed in Alexandria via LeMat-Bulk.

abc: 12.409 3.608 6.205
angles: 90.00 110.78 90.00
Sites, in units of the cell vectors:
Ga1 0.149 0.000 0.353
Ga2 0.351 0.500 0.647
Ga3 0.649 0.500 0.353
Ga4 0.851 0.000 0.647
Hg1 0.043 0.500 0.772
Hg2 0.457 0.000 0.228
Hg3 0.543 0.000 0.772
Hg4 0.957 0.500 0.228
Au1 0.243 0.000 0.809
Au2 0.257 0.500 0.191
Au3 0.743 0.500 0.809
Au4 0.757 0.000 0.191

Distance to the lowest polymorph of the same formula = 0 meV per atom
SG = C2/m (12)

=====

What calculated volume values result from the calculations? In sequence: 18.38, 21.79, 19.95, 22.27, 22.52, 21.82, 25.99, 20.52, 21.28, 23.38, 19.27, 21.64 Å³ per atom.